No. 1
Compound: Li2PmAu9
Source: Alexandria via LeMat-Bulk
Functional: PBE-GGA
Structure: optimized geometry

abc: 5.5157 5.5157 28.0414
angles: 90.00 90.00 120.00
Closest atoms and distances in Å follow each position.
Space group R-3m (No. 166, hexagonal axes)
Asymmetric unit:
Li1 0.0000 0.0000 0.1512  12 Au 3.12-3.30, 3 Li 3.30
Pm1 0.0000 0.0000 0.0000  6 Au 3.18
Au1 0.0000 0.0000 0.3326  9 Au 2.87-3.18, 3 Pm 3.18
Au2 0.0000 0.0000 0.5000  6 Au 2.77
Au3 0.0029 0.5014 0.9137  7 Au 2.73-2.92

No. 2
Compound: LiPm4Au5
Source: Alexandria via LeMat-Bulk
Functional: PBE-GGA
Structure: optimized geometry

abc: 3.6365 3.6365 17.7666
angles: 90.00 90.00 90.00
Closest atoms and distances in Å follow each position.
Space group P4/mmm (No. 123)
Asymmetric unit:
Li1 0.0000 0.0000 0.0000  8 Au 2.94, 2 Pm 3.22
Pm1 0.0000 0.0000 0.1813  8 Au 3.14-3.20, 1 Li 3.22
Pm2 0.0000 0.0000 0.3944  8 Au 3.18
Au1 0.5000 0.5000 0.0800  1 Au 2.84, 4 Li 2.94, 4 Pm 3.14
Au2 0.5000 0.5000 0.2888  8 Pm 3.18-3.20
Au3 0.5000 0.5000 0.5000  8 Pm 3.18

No. 3
Compound: LiPm3Au2
Source: Alexandria via LeMat-Bulk
Functional: PBE-GGA
Structure: optimized geometry

abc: 5.2134 5.2134 12.9924
angles: 90.00 90.00 120.00
Closest atoms and distances in Å follow each position.
Space group P-3m1 (No. 164)
Asymmetric unit:
Li1 0.3333 0.6667 0.1770  8 Pm 3.18-3.31, 3 Au 3.46
Pm1 0.0000 0.0000 0.2568  5 Au 3.08-3.34, 3 Li 3.18
Pm2 0.3333 0.6667 0.4242  7 Au 3.17-3.48, 1 Li 3.21
Pm3 0.3333 0.6667 0.9220  4 Au 2.99-3.18, 4 Li 3.27-3.31
Au1 0.0000 0.0000 0.0000  8 Pm 3.18-3.34
Au2 0.0000 0.0000 0.5000  8 Pm 3.16-3.17
Au3 0.3333 0.6667 0.6918  4 Pm 2.99-3.08

For the excess energy over the best structure of this formula in the dataset, the calculation gives 0.017 eV per atom.

No. 4
Compound: LiPm2Au7
Source: Alexandria via LeMat-Bulk
Functional: PBE-GGA
Structure: optimized geometry

abc: 9.7012 9.7012 9.7012
angles: 90.00 90.00 90.00
Closest atoms and distances in Å follow each position.
Space group Fm-3m (No. 225)
Asymmetric unit:
Li1 0.0000 0.0000 0.0000  6 Au 2.24
Pm1 0.2500 0.2500 0.2500  12 Au 3.44
Au1 0.0000 0.0000 0.2306  1 Li 2.24
Au2 0.0000 0.0000 0.5000  6 Au 2.61

No. 5
Compound: LiPm3Au3
Source: Alexandria via LeMat-Bulk
Functional: PBE-GGA
Structure: optimized geometry

abc: 7.8145 11.4999 7.9099
angles: 90.00 95.17 90.00
Closest atoms and distances in Å follow each position.
Space group C2/m (No. 12)
Asymmetric unit:
Li1 0.2227 0.0000 0.4684  4 Au 2.56-2.83
Pm1 0.0000 0.2677 0.5000  6 Au 3.15-3.21, 2 Li 3.43
Pm2 0.0000 0.3105 0.0000  6 Au 2.95-3.16
Pm3 0.1272 0.0000 0.8381  3 Au 3.02-3.07, 1 Li 3.08, 1 Pm 3.38
Au1 0.0201 0.5000 0.2898  2 Li 2.65-2.83
Au2 0.2024 0.1452 0.2220  1 Li 2.56

For the excess energy over the best structure of this formula in the dataset, the calculation gives 0.062 eV per atom.

No. 6
Compound: LiPm2Au2
Source: Alexandria via LeMat-Bulk
Functional: PBE-GGA
Structure: optimized geometry

abc: 7.4829 11.8065 5.8676
angles: 90.00 90.00 90.00
Closest atoms and distances in Å follow each position.
Space group Ibam (No. 72)
Asymmetric unit:
Li1 0.0000 0.0000 0.2500  4 Au 2.74, 2 Li 2.93
Pm1 0.1676 0.3430 0.0000  5 Au 2.97-3.07
Au1 0.2329 0.4005 0.5000  2 Li 2.74, 5 Pm 2.97-3.07

For the excess energy over the best structure of this formula in the dataset, the calculation gives 0.081 eV per atom.

No. 7
Compound: LiPm3Au4
Source: Alexandria via LeMat-Bulk
Functional: PBE-GGA
Structure: optimized geometry

abc: 5.1212 5.1212 25.0538
angles: 90.00 90.00 120.00
Closest atoms and distances in Å follow each position.
Space group R-3m (No. 166, hexagonal axes)
Asymmetric unit:
Li1 0.0000 0.0000 0.0000  8 Au 3.17-3.20, 6 Pm 3.51
Pm1 0.0000 0.0000 0.2576  8 Au 3.04-3.25
Pm2 0.0000 0.0000 0.5000  8 Au 3.03-3.11
Au1 0.0000 0.0000 0.1278  7 Pm 3.11-3.25, 1 Li 3.20
Au2 0.0000 0.0000 0.3789  5 Pm 3.03-3.05, 3 Li 3.17

For the excess energy over the best structure of this formula in the dataset, the calculation gives 0.000 eV per atom.

No. 8
Compound: LiPm3Au3
Source: Alexandria via LeMat-Bulk
Functional: PBE-GGA
Structure: optimized geometry

abc: 3.8544 4.5363 19.8851
angles: 90.00 90.00 90.00
Closest atoms and distances in Å follow each position.
Space group Imm2 (No. 44)
Asymmetric unit:
Li1 0.0000 0.0000 0.0000  3 Au 2.50-2.72
Pm1 0.0000 0.0000 0.4230  6 Au 3.13-3.43, 4 Li 3.35
Pm2 0.0000 0.5000 0.2501  6 Au 3.04-3.13
Pm3 0.0000 0.5000 0.6226  2 Li 3.11, 5 Au 3.12-3.14
Au1 0.0000 0.0000 0.8744  1 Li 2.50
Au2 0.0000 0.5000 0.0756  2 Li 2.72
Au3 0.0000 0.5000 0.7803  2 Au 2.94, 5 Pm 3.04-3.14

For the excess energy over the best structure of this formula in the dataset, the calculation gives 0.000 eV per atom.

No. 9
Compound: LiPm3Au4
Source: Alexandria via LeMat-Bulk
Functional: PBE-GGA
Structure: optimized geometry

abc: 4.0297 6.9400 14.7698
angles: 90.00 90.00 90.00
Closest atoms and distances in Å follow each position.
Space group Immm (No. 71)
Asymmetric unit:
Li1 0.0000 0.0000 0.0000  4 Au 2.67
Pm1 0.0000 0.0000 0.5000  8 Au 3.08
Pm2 0.0000 0.5000 0.3004  6 Au 3.04-3.05
Au1 0.0000 0.2857 0.1212  1 Li 2.67, 1 Au 2.97

For the excess energy over the best structure of this formula in the dataset, the calculation gives 0.079 eV per atom.

No. 10
Compound: LiPm2Au3
Source: Alexandria via LeMat-Bulk
Functional: PBE-GGA
Structure: optimized geometry

abc: 3.6183 3.6183 10.2454
angles: 90.00 90.00 90.00
Closest atoms and distances in Å follow each position.
Space group P4/mmm (No. 123)
Asymmetric unit:
Li1 0.0000 0.0000 0.0000  8 Au 2.92, 2 Pm 3.22
Pm1 0.0000 0.0000 0.3139  8 Au 3.13-3.19, 1 Li 3.22
Au1 0.5000 0.5000 0.1381  1 Au 2.83, 4 Li 2.92, 4 Pm 3.13
Au2 0.5000 0.5000 0.5000  8 Pm 3.19

For the excess energy over the best structure of this formula in the dataset, the calculation gives 0.020 eV per atom.

No. 11
Compound: Li2PmAu
Source: Alexandria via LeMat-Bulk
Functional: PBE-GGA
Structure: optimized geometry

abc: 6.7491 6.7491 6.7491
angles: 90.00 90.00 90.00
Closest atoms and distances in Å follow each position.
Space group Fm-3m (No. 225)
Asymmetric unit:
Li1 0.2500 0.2500 0.2500  4 Pm 2.92, 4 Au 2.92
Pm1 0.0000 0.0000 0.0000  8 Li 2.92
Au1 0.0000 0.0000 0.5000  8 Li 2.92

For the excess energy over the best structure of this formula in the dataset, the calculation gives 0.158 eV per atom.

No. 12
Compound: Li3PmAu4
Source: Alexandria via LeMat-Bulk
Functional: PBE-GGA
Structure: optimized geometry

abc: 4.5286 4.5286 25.1122
angles: 90.00 90.00 120.00
Closest atoms and distances in Å follow each position.
Space group R-3m (No. 166, hexagonal axes)
Asymmetric unit:
Li1 0.0000 0.0000 0.0000  8 Au 2.59-2.79
Li2 0.0000 0.0000 0.2632  7 Au 2.73-2.75
Pm1 0.0000 0.0000 0.5000  8 Au 3.06-3.20
Au1 0.0000 0.0000 0.1033  4 Li 2.59-2.74
Au2 0.0000 0.0000 0.3726  7 Li 2.73-2.79

Asked for energy of formation from the pure elements across the records above, the calculation gives -0.36, -0.72, -0.51, -0.20, -0.58, -0.57, -0.73, -0.64, -0.65, -0.69, -0.24, -0.63 eV per atom in order.
Asked for electronic total energy across the records above, the calculation gives -3.5297, -4.4552, -4.3011, -3.6325, -4.2951, -4.1595, -4.3849, -4.3573, -4.3060, -4.2331, -3.2048, -3.5756 eV/atom in order.
Asked for DOS(E_F) across the records above, the calculation gives 13.82, 6.42, 11.27, 20.98, 25.68, 17.55, 16.36, 10.15, 13.80, 2.76, 19.86, 7.89 states/eV/cell in order.